Entry 1:
{"formula": "TlReAgTe2Se", "functional": "PBE-GGA", "state": "optimized geometry", "space_group": "Cmcm, No. 63", "density_g_cm3": 8.8, "final_energy_ev_per_atom": -4.39, "lattice_angstrom": [[1.972, -7.679, 0.000], [1.972, 7.679, 0.000], [0.000, 0.000, 10.362]], "species": ["Tl", "Tl", "Re", "Re", "Ag", "Ag", "Te", "Te", "Te", "Te", "Se", "Se"], "fractional_positions": [[0.240, 0.760, 0.750], [0.760, 0.240, 0.250], [0.000, 0.000, 0.000], [0.000, 0.000, 0.500], [0.453, 0.547, 0.250], [0.547, 0.453, 0.750], [0.373, 0.627, 0.016], [0.373, 0.627, 0.484], [0.627, 0.373, 0.516], [0.627, 0.373, 0.984], [0.066, 0.934, 0.250], [0.934, 0.066, 0.750]]}

---

Entry 2:
{"formula": "Mg2Sc2ZnCu2Au", "functional": "PBE-GGA", "state": "optimized geometry", "space_group": "P-4m2, No. 115", "density_g_cm3": 6.4, "final_energy_ev_per_atom": -3.85, "lattice_angstrom": [[4.601, 0.000, 0.000], [0.000, 4.601, 0.000], [0.000, 0.000, 6.508]], "species": ["Mg", "Mg", "Sc", "Sc", "Zn", "Cu", "Cu", "Au"], "fractional_positions": [[0.000, 0.500, 0.250], [0.500, 0.000, 0.750], [0.000, 0.500, 0.749], [0.500, 0.000, 0.251], [0.500, 0.500, 0.500], [0.000, 0.000, 0.500], [0.500, 0.500, 0.000], [0.000, 0.000, 0.000]]}

---

Entry 3:
{"formula": "Ac2ZrZn3", "functional": "PBE-GGA", "state": "optimized geometry", "space_group": "P6/mmm, No. 191", "density_g_cm3": 7.2, "formation_enthalpy_0k_ev_per_atom": 0.409, "final_energy_ev_per_atom": -3.02, "lattice_angstrom": [[6.008, 0.000, 0.000], [-3.004, 5.203, 0.000], [0.000, 0.000, 5.473]], "species": ["Ac", "Ac", "Zr", "Zn", "Zn", "Zn"], "fractional_positions": [[0.333, 0.667, 0.000], [0.667, 0.333, 0.000], [0.000, 0.000, 0.000], [0.000, 0.500, 0.500], [0.500, 0.000, 0.500], [0.500, 0.500, 0.500]]}

---

Entry 4:
{"formula": "Mg2Zn", "functional": "PBE-GGA", "state": "optimized geometry", "space_group": "P6_222, No. 180", "density_g_cm3": 3.2, "final_energy_ev_per_atom": -1.53, "lattice_angstrom": [[5.408, 0.000, 0.000], [-2.704, 4.683, 0.000], [0.000, 0.000, 14.007]], "species": ["Mg", "Mg", "Mg", "Mg", "Mg", "Mg", "Mg", "Mg", "Mg", "Mg", "Mg", "Mg", "Zn", "Zn", "Zn", "Zn", "Zn", "Zn"], "fractional_positions": [[0.000, 0.500, 0.058], [0.000, 0.500, 0.276], [0.168, 0.336, 0.500], [0.168, 0.832, 0.833], [0.336, 0.168, 0.167], [0.500, 0.000, 0.391], [0.500, 0.000, 0.609], [0.500, 0.500, 0.724], [0.500, 0.500, 0.942], [0.664, 0.832, 0.167], [0.832, 0.168, 0.833], [0.832, 0.664, 0.500], [0.000, 0.000, 0.000], [0.000, 0.000, 0.333], [0.000, 0.000, 0.667], [0.000, 0.500, 0.667], [0.500, 0.000, 0.000], [0.500, 0.500, 0.333]]}